The following is a PBE calculation of a geometry-optimized CaZnTc structure, from the Alexandria database.

## Properties
The energy above the most stable polymorph in this dataset is 985.5 meV per atom. The total magnetic moment is 3.07 μB/f.u.

Structure (CIF):
```
data_CaZnTc
_cell_length_a 6.698
_cell_length_b 6.698
_cell_length_c 6.698
_cell_angle_alpha 90.00
_cell_angle_beta 90.00
_cell_angle_gamma 90.00
_space_group_name_H-M_alt 'F -4 3 m'
_space_group_IT_number 216
_space_group_name_Hall 'F -4 2 3'
loop_
_atom_site_label
_atom_site_fract_x
_atom_site_fract_y
_atom_site_fract_z
Ca1 0.000 0.000 0.000
Zn1 0.250 0.250 0.750
Tc1 0.250 0.250 0.250
```

***

The following is a PBE calculation of a geometry-optimized CeSm2TmSe6 structure, from the Alexandria database.

## Properties
The total magnetic moment is 1.01 μB/f.u. The calculation puts the uncorrected formation energy at -1.812 eV/atom.

Structure (CIF):
```
data_CeSm2TmSe6
_cell_length_a 7.3508
_cell_length_b 7.3508
_cell_length_c 19.6600
_cell_angle_alpha 90.00
_cell_angle_beta 90.00
_cell_angle_gamma 120.00
_space_group_name_H-M_alt 'R 3'
_space_group_IT_number 146
_space_group_name_Hall 'R 3'
loop_
_atom_site_label
_atom_site_fract_x
_atom_site_fract_y
_atom_site_fract_z
Ce1 0.0000 0.0000 0.0000
Sm1 0.0000 0.0000 0.1998
Sm2 0.0000 0.0000 0.7032
Tm1 0.0000 0.0000 0.5041
Se1 0.0138 0.3146 0.1010
Se2 0.0401 0.6704 0.2662
```

***

The following is a PBE calculation of a geometry-optimized Zn2CrW structure, from the Alexandria database.

## Properties
The energy above the most stable polymorph in this dataset is 90.2 meV per atom. The total magnetic moment is 0.00 μB/f.u.

Structure (CIF):
```
data_Zn2CrW
_cell_length_a 2.596
_cell_length_b 4.295
_cell_length_c 5.137
_cell_angle_alpha 90.00
_cell_angle_beta 102.22
_cell_angle_gamma 90.00
_space_group_name_H-M_alt 'P 1 2/m 1'
_space_group_IT_number 10
_space_group_name_Hall '-P 2y'
loop_
_atom_site_label
_atom_site_fract_x
_atom_site_fract_y
_atom_site_fract_z
Zn1 0.040 0.000 0.258
Cr1 0.500 0.500 0.500
W1 0.500 0.500 0.000
```

***

Question: Look up the total magnetic moment of the second one.
Answer: 1.01 μB/f.u.

***

Question: Which of these has the highest total magnetic moment?
Answer: CaZnTc